Model one:
DFT (PBE) results for a relaxed MnCoRu2 crystal.

Computed properties:
Crystal system ... trigonal
Symmetry ... No. 166
Size of the total moment ... 0.88 μB/f.u.

The structure in POSCAR format:
```
MnCoRu2
1.0
-4.437 -1.786 7.138
-2.087 -2.724 7.877
-2.637 -0.164 8.176
Ru Mn Co
2 1 1
Cartesian
-4.567 -2.331 11.563
-0.013 -0.007 0.033
-6.871 -3.506 17.393
-2.290 -1.169 5.798
```

***

Model two:
DFT (PBE) results for a relaxed MnCoRu2 crystal.

Computed properties:
Crystal system ... tetragonal
Symmetry ... No. 122
Size of the total moment ... 0.00 μB/f.u.

The structure in POSCAR format:
```
MnCoRu2
1.0
5.210 0.000 0.000
0.000 5.210 0.000
2.605 2.605 5.161
Co Ru Mn
2 4 2
Cartesian
5.210 2.605 2.581
0.000 0.000 0.000
3.907 3.915 3.871
1.310 3.907 1.290
3.900 1.302 1.290
6.512 6.504 3.871
2.605 2.605 0.000
2.605 5.210 2.581
```

***

The structures above, arranged from the most stable to the least stable: model one, model two.